PaB2C: optimized geometry, PBE-GGA.

Output
energy of formation from the pure elements = 0.6987 eV per atom
total DFT energy (no corrections) = -0.26900 Ha/atom
distance to the lowest polymorph of the same formula = 580 meV/atom
density of states at the Fermi level = 1.92 states/eV per cell
space-group type = No. 166
total moment = 0.00 Bohr magnetons per cell

abc: 3.2091 3.2091 4.8878
angles: 70.84 70.84 60.00
Positions (direct):
1 C 0.0000 0.0000 0.0000
2 Pa 0.5000 0.5000 0.5000
3 B 0.3088 0.3088 0.0735
4 B 0.6912 0.6912 0.9265

La2Sc2Si2H: optimized geometry, PBE-GGA.

Output
total DFT energy (no corrections) = -0.21714 Ha/atom
density of states at the Fermi level = 6.27 states/eV per cell
space-group type = No. 139
total moment = 1.67 Bohr magnetons per cell

abc: 4.3302 4.3302 8.6081
angles: 104.57 104.57 90.00
Each line ends with the local moment (μB).
Positions (direct):
1 La 0.1780 0.1780 0.3560  0.17
2 La 0.8220 0.8220 0.6440  0.17
3 Sc 0.5000 0.0000 0.0000  0.28
4 Sc 0.0000 0.5000 0.0000  0.28
5 H 0.0000 0.0000 0.0000  -0.01
6 Si 0.3817 0.3817 0.7635  -0.02
7 Si 0.6183 0.6183 0.2365  -0.02

Os2RhAu: optimized geometry, PBE-GGA.

Output
energy of formation from the pure elements = 0.4843 eV per atom
total DFT energy (no corrections) = -0.28619 Ha/atom
distance to the lowest polymorph of the same formula = 269 meV/atom
density of states at the Fermi level = 5.28 states/eV per cell
space-group type = No. 123
total moment = 0.00 Bohr magnetons per cell

abc: 2.7379 2.7379 8.0682
angles: 90.00 90.00 90.00
Positions (direct):
1 Os 0.0000 0.0000 0.2354
2 Os 0.0000 0.0000 0.7646
3 Au 0.5000 0.5000 0.5000
4 Rh 0.5000 0.5000 0.0000

GaRu3F: optimized geometry, PBE-GGA.

Output
total DFT energy (no corrections) = -0.18549 Ha/atom
distance to the lowest polymorph of the same formula = 645 meV/atom
density of states at the Fermi level = 7.67 states/eV per cell
space-group type = No. 221
total moment = 6.35 Bohr magnetons per cell
energy relative to the elements, uncorrected = 1.498 eV per atom

abc: 4.7785 4.7785 4.7785
angles: 90.00 90.00 90.00
Each line ends with the local moment (μB).
Positions (direct):
1 Ru 0.0000 0.5000 0.0000  2.07
2 Ru 0.0000 0.0000 0.5000  2.14
3 Ru 0.5000 0.0000 0.0000  1.76
4 Ga 0.0000 0.0000 0.0000  -0.11
5 F 0.5000 0.5000 0.5000  0.17

LaPrDy2P4: optimized geometry, PBE-GGA.

Output
energy of formation from the pure elements = -1.5678 eV per atom
total DFT energy (no corrections) = -0.24389 Ha/atom
density of states at the Fermi level = 0.78 states/eV per cell
space-group type = No. 10
total moment = 0.00 Bohr magnetons per cell

abc: 4.1260 7.1391 7.1435
angles: 70.54 90.00 90.00
Positions (direct):
1 P 0.5000 0.7624 0.2468
2 P 0.0000 0.7631 0.7447
3 P 0.0000 0.2369 0.2553
4 P 0.5000 0.2376 0.7532
5 Dy 0.5000 0.0000 0.5000
6 Dy 0.0000 0.0000 0.0000
7 Pr 0.0000 0.5000 0.5000
8 La 0.5000 0.5000 0.0000

PbS2F: optimized geometry, PBE-GGA.

Output
total DFT energy (no corrections) = -0.12709 Ha/atom
distance to the lowest polymorph of the same formula = 716 meV/atom
density of states at the Fermi level = 3.75 states/eV per cell
space-group type = No. 225
total moment = 1.33 Bohr magnetons per cell
energy relative to the elements, uncorrected = 0.000 eV per atom

abc: 4.6922 4.6922 4.6922
angles: 60.00 60.00 60.00
Each line ends with the local moment (μB).
Positions (direct):
1 F 0.0000 0.0000 0.0000  0.11
2 S 0.2500 0.2500 0.2500  0.41
3 S 0.7500 0.7500 0.7500  0.41
4 Pb 0.5000 0.5000 0.5000  0.00

Q: Look up the density of states at the Fermi level of the sixth one.
A: 3.75 states/eV per cell